No. 1
# CeHfZr6, optimized geometry, DFT PBE-GGA
# E_tot, eV/atom: -8.3140
data_CeHfZr6
_space_group_name_H-M_alt 'A m m 2'
_space_group_IT_number 38
_cell_length_a 4.8400
_cell_length_b 7.7532
_cell_length_c 10.0620
_cell_angle_alpha 90.00
_cell_angle_beta 90.00
_cell_angle_gamma 90.00
loop_
_space_group_symop_operation_xyz
'x,y,z'
'-x,-y,z'
'-x,y,z'
'x,-y,z'
'x,y+1/2,z+1/2'
'-x,-y+1/2,z+1/2'
'-x,y+1/2,z+1/2'
'x,-y+1/2,z+1/2'
loop_
_atom_site_label
_atom_site_type_symbol
_atom_site_fract_x
_atom_site_fract_y
_atom_site_fract_z
Ce1 Ce 0.0000 0.0000 0.0000
Hf1 Hf 0.0000 0.0000 0.4968
Zr1 Zr 0.0000 0.2472 0.7507
Zr2 Zr 0.5000 0.0000 0.2159
Zr3 Zr 0.5000 0.0000 0.7137
Zr4 Zr 0.5000 0.2377 0.4597


No. 2
# CeHfZr2, optimized geometry, DFT PBE-GGA
# Excess energy over the best structure of this formula in the dataset, meV/atom: 265
data_CeHfZr2
_space_group_name_H-M_alt 'R -3 m'
_space_group_IT_number 166
_space_group_name_Hall '-R 3 2"'
_cell_length_a 3.0790
_cell_length_b 3.0790
_cell_length_c 35.5270
_cell_angle_alpha 90.00
_cell_angle_beta 90.00
_cell_angle_gamma 120.00
loop_
_atom_site_label
_atom_site_type_symbol
_atom_site_fract_x
_atom_site_fract_y
_atom_site_fract_z
Ce1 Ce 0.0000 0.0000 0.0000
Hf1 Hf 0.0000 0.0000 0.5000
Zr1 Zr 0.0000 0.0000 0.4166


No. 3
# CeHf8Zr2, optimized geometry, DFT PBE-GGA
# E_tot, eV/atom: -9.1855
data_CeHf8Zr2
_space_group_name_H-M_alt 'C 1 2/m 1'
_space_group_IT_number 12
_cell_length_a 20.9345
_cell_length_b 3.1805
_cell_length_c 8.5105
_cell_angle_alpha 90.00
_cell_angle_beta 111.44
_cell_angle_gamma 90.00
loop_
_space_group_symop_operation_xyz
'x,y,z'
'-x,-y,-z'
'-x,y,-z'
'x,-y,z'
'x+1/2,y+1/2,z'
'-x+1/2,-y+1/2,-z'
'-x+1/2,y+1/2,-z'
'x+1/2,-y+1/2,z'
loop_
_atom_site_label
_atom_site_type_symbol
_atom_site_fract_x
_atom_site_fract_y
_atom_site_fract_z
Ce1 Ce 0.0000 0.0000 0.0000
Hf1 Hf 0.0524 0.5000 0.4025
Hf2 Hf 0.0818 0.0000 0.7402
Hf3 Hf 0.1611 0.0000 0.3149
Hf4 Hf 0.1894 0.5000 0.0353
Zr1 Zr 0.1967 0.5000 0.6736


No. 4
# CeHf2Zr, optimized geometry, DFT PBE-GGA
# Excess energy over the best structure of this formula in the dataset, meV/atom: 80
data_CeHf2Zr
_space_group_name_H-M_alt 'P 4/m m m'
_space_group_IT_number 123
_space_group_name_Hall '-P 4 2'
_cell_length_a 3.7733
_cell_length_b 3.7733
_cell_length_c 6.8477
_cell_angle_alpha 90.00
_cell_angle_beta 90.00
_cell_angle_gamma 90.00
loop_
_atom_site_label
_atom_site_type_symbol
_atom_site_fract_x
_atom_site_fract_y
_atom_site_fract_z
Ce1 Ce 0.0000 0.0000 0.0000
Hf1 Hf 0.5000 0.5000 0.2825
Zr1 Zr 0.0000 0.0000 0.5000


No. 5
# CeHfZr2, optimized geometry, DFT PBE-GGA
# Excess energy over the best structure of this formula in the dataset, meV/atom: 78
data_CeHfZr2
_space_group_name_H-M_alt 'P 4/m m m'
_space_group_IT_number 123
_space_group_name_Hall '-P 4 2'
_cell_length_a 4.6087
_cell_length_b 4.6087
_cell_length_c 4.5555
_cell_angle_alpha 90.00
_cell_angle_beta 90.00
_cell_angle_gamma 90.00
loop_
_atom_site_label
_atom_site_type_symbol
_atom_site_fract_x
_atom_site_fract_y
_atom_site_fract_z
Ce1 Ce 0.0000 0.0000 0.0000
Hf1 Hf 0.5000 0.5000 0.0000
Zr1 Zr 0.0000 0.5000 0.5000


No. 6
# CeHf2Zr, optimized geometry, DFT PBE-GGA
# Excess energy over the best structure of this formula in the dataset, meV/atom: 0
data_CeHf2Zr
_space_group_name_H-M_alt 'R 3 m'
_space_group_IT_number 160
_space_group_name_Hall 'R 3 -2"'
_cell_length_a 3.2016
_cell_length_b 3.2016
_cell_length_c 32.0918
_cell_angle_alpha 90.00
_cell_angle_beta 90.00
_cell_angle_gamma 120.00
loop_
_atom_site_label
_atom_site_type_symbol
_atom_site_fract_x
_atom_site_fract_y
_atom_site_fract_z
Ce1 Ce 0.0000 0.0000 0.0000
Hf1 Hf 0.0000 0.0000 0.2466
Hf2 Hf 0.0000 0.0000 0.4207
Zr1 Zr 0.0000 0.0000 0.8331


no.,ρ (Mg/m³),magnetic moment (μB per cell)
1,7.62,0.000
2,8.56,0.000
3,11.02,1.263
4,10.02,0.288
5,8.60,0.000
6,10.29,0.006